Entry from Alexandria: a relaxed Li3IO4 crystal (PBE).

Lattice parameters (Å, degrees): 5.252 4.455 7.906 90.00 90.00 90.00
Fractional coordinates of all 16 atoms:
I 0.022 0.226 0.000
I 0.522 0.774 0.500
O 0.013 0.802 0.000
O 0.666 0.273 0.000
O 0.999 0.248 0.249
O 0.499 0.752 0.251
O 0.166 0.727 0.500
O 0.513 0.198 0.500
O 0.499 0.752 0.749
O 0.999 0.248 0.751
Li 0.600 0.746 0.000
Li 0.109 0.729 0.251
Li 0.609 0.271 0.249
Li 0.100 0.254 0.500
Li 0.609 0.271 0.751
Li 0.109 0.729 0.749

DOS(E_F): 0.000 states/eV/atom
magnetization: 0.00 μB/cell
polymorph energy (0 for the lowest one): 0.022 eV per atom

Entry from Alexandria: a relaxed BiSN2 crystal (PBE).

Lattice parameters (Å, degrees): 4.837 4.837 6.635 68.62 68.62 90.00
Fractional coordinates of all 8 atoms:
S 0.500 0.500 0.000
S 0.250 0.750 0.500
Bi 0.000 0.000 0.000
Bi 0.750 0.250 0.500
N 0.549 0.125 0.250
N 0.201 0.625 0.250
N 0.375 0.451 0.750
N 0.875 0.799 0.750

DOS(E_F): 0.250 states/eV/atom
magnetization: 0.00 μB/cell
polymorph energy (0 for the lowest one): 1.239 eV per atom

magnetization of number 2 (BiSN2)? 0.00 μB/cell

Number 2 is which compound? BiSN2

Number 1 is which compound? Li3IO4